# Dy2PPb, optimized geometry, DFT GGA-PBE
# - energy (eV/atom) = -5.64
# - volume (A^3/atom) = 26.52
# - magnetic moment (Bohr magnetons per cell) = 0.029
data_Dy2PPb
_chemical_formula_sum 'Dy4 P2 Pb2'
_cell_length_a 6.812
_cell_length_b 3.925
_cell_length_c 8.249
_cell_angle_alpha 90.00
_cell_angle_beta 105.87
_cell_angle_gamma 90.00
_symmetry_space_group_name_H-M 'C 1 2/m 1'
_symmetry_Int_Tables_number 12
loop_
_symmetry_equiv_pos_as_xyz
'x,y,z'
'-x,-y,-z'
'-x,y,-z'
'x,-y,z'
'x+1/2,y+1/2,z'
'-x+1/2,-y+1/2,-z'
'-x+1/2,y+1/2,-z'
'x+1/2,-y+1/2,z'
loop_
_atom_site_label
_atom_site_fract_x
_atom_site_fract_y
_atom_site_fract_z
Dy1 0.232 0.000 0.198
P1 0.000 0.500 0.000
Pb1 0.000 0.000 0.500


# DyP2Pd3, optimized geometry, DFT GGA-PBE
# - energy (eV/atom) = -5.94
# - volume (A^3/atom) = 16.84
# - magnetic moment (Bohr magnetons per cell) = 0.003
data_DyP2Pd3
_chemical_formula_sum 'Dy1 P2 Pd3'
_cell_length_a 4.0761
_cell_length_b 4.0761
_cell_length_c 7.0225
_cell_angle_alpha 90.00
_cell_angle_beta 90.00
_cell_angle_gamma 120.00
_symmetry_space_group_name_H-M 'P -3 m 1'
_symmetry_Int_Tables_number 164
_symmetry_space_group_name_Hall '-P 3 2"'
loop_
_atom_site_label
_atom_site_fract_x
_atom_site_fract_y
_atom_site_fract_z
Dy1 0.0000 0.0000 0.0000
P1 0.3333 0.6667 0.2548
Pd1 0.0000 0.0000 0.5000
Pd2 0.3333 0.6667 0.7025


# Pr2DyP3, optimized geometry, DFT GGA-PBE
# - energy (eV/atom) = -6.60
# - volume (A^3/atom) = 25.04
# - magnetic moment (Bohr magnetons per cell) = 0.006
data_Pr2DyP3
_chemical_formula_sum 'Pr2 Dy1 P3'
_cell_length_a 4.1389
_cell_length_b 4.1389
_cell_length_c 10.1270
_cell_angle_alpha 90.00
_cell_angle_beta 90.00
_cell_angle_gamma 120.00
_symmetry_space_group_name_H-M 'P -3 m 1'
_symmetry_Int_Tables_number 164
_symmetry_space_group_name_Hall '-P 3 2"'
loop_
_atom_site_label
_atom_site_fract_x
_atom_site_fract_y
_atom_site_fract_z
Pr1 0.3333 0.6667 0.3285
Dy1 0.0000 0.0000 0.0000
P1 0.0000 0.0000 0.5000
P2 0.3333 0.6667 0.8434


# DyPuP2, optimized geometry, DFT GGA-PBE
# - energy (eV/atom) = -8.82
# - volume (A^3/atom) = 22.48
# - magnetic moment (Bohr magnetons per cell) = 14.729
data_DyPuP2
_chemical_formula_sum 'Dy3 Pu3 P6'
_cell_length_a 4.0042
_cell_length_b 4.0042
_cell_length_c 19.4290
_cell_angle_alpha 90.00
_cell_angle_beta 90.00
_cell_angle_gamma 120.00
_symmetry_space_group_name_H-M 'R -3 m'
_symmetry_Int_Tables_number 166
_symmetry_space_group_name_Hall '-R 3 2"'
loop_
_atom_site_label
_atom_site_fract_x
_atom_site_fract_y
_atom_site_fract_z
Dy1 0.0000 0.0000 0.0000
Pu1 0.0000 0.0000 0.5000
P1 0.0000 0.0000 0.2481


# DyPS, optimized geometry, DFT GGA-PBE
# - energy (eV/atom) = -6.28
# - volume (A^3/atom) = 19.82
# - magnetic moment (Bohr magnetons per cell) = 0.003
data_DyPS
_chemical_formula_sum 'Dy8 P8 S8'
_cell_length_a 5.352
_cell_length_b 5.317
_cell_length_c 16.717
_cell_angle_alpha 90.00
_cell_angle_beta 90.00
_cell_angle_gamma 90.00
_symmetry_space_group_name_H-M 'P n m a'
_symmetry_Int_Tables_number 62
loop_
_symmetry_equiv_pos_as_xyz
'x,y,z'
'-x,-y,-z'
'-x+1/2,-y,z+1/2'
'x+1/2,y,-z+1/2'
'x+1/2,-y+1/2,-z+1/2'
'-x+1/2,y+1/2,z+1/2'
'-x,y+1/2,-z'
'x,-y+1/2,z'
loop_
_atom_site_label
_atom_site_fract_x
_atom_site_fract_y
_atom_site_fract_z
Dy1 0.014 0.250 0.146
Dy2 0.016 0.750 0.362
P1 0.208 0.536 0.997
S1 0.011 0.250 0.316
S2 0.015 0.750 0.189


# Dy3P2S, optimized geometry, DFT GGA-PBE
# - energy (eV/atom) = -6.60
# - volume (A^3/atom) = 22.26
# - magnetic moment (Bohr magnetons per cell) = 0.006
data_Dy3P2S
_chemical_formula_sum 'Dy3 P2 S1'
_cell_length_a 3.9796
_cell_length_b 3.9796
_cell_length_c 9.7377
_cell_angle_alpha 90.00
_cell_angle_beta 90.00
_cell_angle_gamma 120.00
_symmetry_space_group_name_H-M 'P -3 m 1'
_symmetry_Int_Tables_number 164
_symmetry_space_group_name_Hall '-P 3 2"'
loop_
_atom_site_label
_atom_site_fract_x
_atom_site_fract_y
_atom_site_fract_z
Dy1 0.0000 0.0000 0.0000
Dy2 0.3333 0.6667 0.6746
P1 0.3333 0.6667 0.1689
S1 0.0000 0.0000 0.5000


# Dy3PS2, optimized geometry, DFT GGA-PBE
# - energy above the lowest structure with this stoichiometry (meV/atom) = 15.9
# - energy (eV/atom) = -6.49
# - volume (A^3/atom) = 21.58
# - magnetic moment (Bohr magnetons per cell) = 0.005
data_Dy3PS2
_chemical_formula_sum 'Dy3 P1 S2'
_cell_length_a 3.9409
_cell_length_b 3.9409
_cell_length_c 9.6276
_cell_angle_alpha 90.00
_cell_angle_beta 90.00
_cell_angle_gamma 120.00
_symmetry_space_group_name_H-M 'P -3 m 1'
_symmetry_Int_Tables_number 164
_symmetry_space_group_name_Hall '-P 3 2"'
loop_
_atom_site_label
_atom_site_fract_x
_atom_site_fract_y
_atom_site_fract_z
Dy1 0.0000 0.0000 0.0000
Dy2 0.3333 0.6667 0.6630
P1 0.0000 0.0000 0.5000
S1 0.3333 0.6667 0.1640


# DyPSe2S2, optimized geometry, DFT GGA-PBE
# - energy above the lowest structure with this stoichiometry (meV/atom) = 0.0
# - energy (eV/atom) = -5.15
# - volume (A^3/atom) = 28.46
# - magnetic moment (Bohr magnetons per cell) = 0.002
data_DyPSe2S2
_chemical_formula_sum 'Dy2 P2 Se4 S4'
_cell_length_a 6.539
_cell_length_b 6.789
_cell_length_c 7.741
_cell_angle_alpha 88.23
_cell_angle_beta 86.84
_cell_angle_gamma 84.60
_symmetry_space_group_name_H-M 'P -1'
_symmetry_Int_Tables_number 2
loop_
_symmetry_equiv_pos_as_xyz
'x,y,z'
'-x,-y,-z'
loop_
_atom_site_label
_atom_site_fract_x
_atom_site_fract_y
_atom_site_fract_z
Dy1 0.203 0.209 0.057
P1 0.308 0.758 0.815
Se1 0.115 0.510 0.772
Se2 0.376 0.771 0.096
S1 0.101 0.002 0.768
S2 0.431 0.253 0.336


# DyPSeS3, optimized geometry, DFT GGA-PBE
# - energy above the lowest structure with this stoichiometry (meV/atom) = 0.0
# - energy (eV/atom) = -5.30
# - volume (A^3/atom) = 26.25
# - magnetic moment (Bohr magnetons per cell) = 0.000
data_DyPSeS3
_chemical_formula_sum 'Dy2 P2 Se2 S6'
_cell_length_a 6.451
_cell_length_b 6.527
_cell_length_c 7.508
_cell_angle_alpha 88.54
_cell_angle_beta 86.41
_cell_angle_gamma 87.13
_symmetry_space_group_name_H-M 'P -1'
_symmetry_Int_Tables_number 2
loop_
_symmetry_equiv_pos_as_xyz
'x,y,z'
'-x,-y,-z'
loop_
_atom_site_label
_atom_site_fract_x
_atom_site_fract_y
_atom_site_fract_z
Dy1 0.202 0.228 0.060
P1 0.303 0.753 0.806
Se1 0.369 0.762 0.096
S1 0.103 0.005 0.761
S2 0.113 0.511 0.773
S3 0.434 0.255 0.351


# DyPSeS3, optimized geometry, DFT GGA-PBE
# - energy above the lowest structure with this stoichiometry (meV/atom) = 1.0
# - energy (eV/atom) = -5.30
# - volume (A^3/atom) = 27.46
# - magnetic moment (Bohr magnetons per cell) = 0.001
data_DyPSeS3
_chemical_formula_sum 'Dy2 P2 Se2 S6'
_cell_length_a 6.503
_cell_length_b 6.597
_cell_length_c 7.759
_cell_angle_alpha 88.08
_cell_angle_beta 86.99
_cell_angle_gamma 82.51
_symmetry_space_group_name_H-M 'P -1'
_symmetry_Int_Tables_number 2
loop_
_symmetry_equiv_pos_as_xyz
'x,y,z'
'-x,-y,-z'
loop_
_atom_site_label
_atom_site_fract_x
_atom_site_fract_y
_atom_site_fract_z
Dy1 0.205 0.209 0.055
P1 0.303 0.757 0.816
Se1 0.420 0.266 0.356
S1 0.089 0.010 0.765
S2 0.126 0.521 0.794
S3 0.382 0.778 0.070


# DyPSe2S2, optimized geometry, DFT GGA-PBE
# - energy above the lowest structure with this stoichiometry (meV/atom) = 2.1
# - energy (eV/atom) = -5.15
# - volume (A^3/atom) = 28.15
# - magnetic moment (Bohr magnetons per cell) = 0.003
data_DyPSe2S2
_chemical_formula_sum 'Dy2 P2 Se4 S4'
_cell_length_a 6.554
_cell_length_b 6.614
_cell_length_c 7.836
_cell_angle_alpha 88.33
_cell_angle_beta 86.47
_cell_angle_gamma 85.23
_symmetry_space_group_name_H-M 'P -1'
_symmetry_Int_Tables_number 2
loop_
_symmetry_equiv_pos_as_xyz
'x,y,z'
'-x,-y,-z'
loop_
_atom_site_label
_atom_site_fract_x
_atom_site_fract_y
_atom_site_fract_z
Dy1 0.201 0.219 0.056
P1 0.300 0.753 0.816
Se1 0.374 0.770 0.091
Se2 0.424 0.259 0.354
S1 0.098 0.004 0.771
S2 0.117 0.517 0.789


# Dy3SbP2, optimized geometry, DFT GGA-PBE
# - energy (eV/atom) = -6.22
# - volume (A^3/atom) = 24.83
# - magnetic moment (Bohr magnetons per cell) = 0.002
data_Dy3SbP2
_chemical_formula_sum 'Dy3 Sb1 P2'
_cell_length_a 4.0853
_cell_length_b 4.0853
_cell_length_c 10.3055
_cell_angle_alpha 90.00
_cell_angle_beta 90.00
_cell_angle_gamma 120.00
_symmetry_space_group_name_H-M 'P -3 m 1'
_symmetry_Int_Tables_number 164
_symmetry_space_group_name_Hall '-P 3 2"'
loop_
_atom_site_label
_atom_site_fract_x
_atom_site_fract_y
_atom_site_fract_z
Dy1 0.0000 0.0000 0.0000
Dy2 0.3333 0.6667 0.6918
Sb1 0.0000 0.0000 0.5000
P1 0.3333 0.6667 0.1574